The following is a PBE calculation of a relaxed Li2Tl2In3 crystal, from the Alexandria database.

Output
The space-group type is C2/m, No. 12. As for the volume: 24.30 A^3/atom. Its crystal system is monoclinic. The spin magnetization is 0.00 μB/f.u. For the density of states at the Fermi level, the calculation gives 0.3657 states/eV/atom. For the formation energy, the calculation gives -0.12 eV/atom. The total energy comes out at -2.52 eV per atom.

```
7
Lattice="5.0347 0.0000 0.0000 -2.5173 3.5358 -2.5521 0.0000 -0.2103 9.7084" Properties=species:S:1:pos:R:3 pbc="T T T"
Li 0.0000 3.0500 4.2921
In 2.5173 1.5183 -0.3956
Tl 0.0000 1.2686 1.7540
Tl 2.5173 2.0569 5.4023
In 0.0000 1.8072 7.5519
Li 2.5173 0.2755 2.8642
In 0.0000 -0.1051 4.8542
```

The following is a PBE calculation of a relaxed Pm5Th3Se8 crystal, from the Alexandria database.

Output
The space-group type is R-3m, No. 166. As for the volume: 26.14 A^3/atom. Its crystal system is trigonal. The spin magnetization is 0.00 μB/f.u. For the density of states at the Fermi level, the calculation gives 0.5128 states/eV/atom. As for the formation energy from raw total energies: -1719 meV per atom. The total energy comes out at -6.34 eV per atom.

```
16
Lattice="-2.4162 -6.6864 4.3514 -2.2283 -6.9785 -3.9768 5.0309 -6.7849 0.3515" Properties=species:S:1:pos:R:3 pbc="T T T"
Pm -1.2081 -3.3432 2.1757
Se 2.6231 -8.5177 0.3580
Th 1.3074 -6.7356 2.3515
Se 1.5129 -11.9945 -1.6233
Se -1.0329 -8.6008 -1.7998
Se 1.4193 -11.8489 2.5259
Se -1.1265 -8.4553 2.3494
Pm -2.3222 -6.8324 0.1873
Th 2.5154 -3.3924 0.1757
Th 1.4013 -6.8817 -1.8127
Pm -1.1142 -3.4893 -1.9884
Pm 0.0000 0.0000 0.0000
Se 0.0691 -5.1031 0.1806
Se -2.2367 -11.9321 0.3681
Pm 0.1932 -10.2249 0.3630
Se 0.3173 -15.3466 0.5455
```

The following is a PBE calculation of a relaxed Li2CoCl crystal, from the Alexandria database.

Output
The value obtained for the relative energy among the computed polymorphs is 0.00 eV/f.u. The space-group type is C2/m, No. 12. As for the volume: 15.41 A^3/atom. Its crystal system is monoclinic. The spin magnetization is 1.60 μB/f.u. For the density of states at the Fermi level, the calculation gives 0.5093 states/eV/atom. As for the formation energy from raw total energies: -355 meV per atom. The total energy comes out at -3.55 eV per atom.

```
4
Lattice="-0.7965 -1.5214 -2.5467 2.0559 -1.7711 -1.4393 -1.7272 -6.9855 2.8739" Properties=species:S:1:pos:R:3 pbc="T T T"
Cl -0.3509 -7.7085 -0.8341
Li -0.3166 -5.3574 -0.3922
Li -1.6445 -6.7671 2.7101
Co -0.1170 -2.5695 -0.2780
```

Question: Which of these has the highest spin magnetization?
Answer: Li2CoCl

Question: Number 3 is which compound?
Answer: Li2CoCl